! Mg2CrRu | Alexandria | PBE | optimized geometry; values from VASP
&SYSTEM
  ibrav = 0, nat = 4, ntyp = 3
/
ATOMIC_SPECIES
Mg 24.30 Mg.upf
Ru 101.07 Ru.upf
Cr 52.00 Cr.upf
ATOMIC_POSITIONS crystal
Mg 0.000 0.000 0.497
Ru 0.500 0.500 0.250
Cr 0.500 0.500 0.750
Mg 0.000 0.000 0.003
CELL_PARAMETERS angstrom
2.694 -0.010 0.000
-0.842 2.559 0.000
0.000 0.000 8.948
! Final energy: -5.109 eV per atom
! Energy of formation from the pure elements: 1.7 eV per formula unit
! Magnetic moment: 0.14 μB per atom
! Excess energy over the best structure of this formula in the dataset: 0.368 eV per atom

=====

! SrAcAu2 | Alexandria | PBE | optimized geometry; values from VASP
&SYSTEM
  ibrav = 0, nat = 4, ntyp = 3
/
ATOMIC_SPECIES
Au 196.97 Au.upf
Sr 87.62 Sr.upf
Ac 227.00 Ac.upf
ATOMIC_POSITIONS crystal
Au 0.000 0.500 0.000
Sr 0.500 0.000 0.000
Au 0.000 0.000 0.500
Ac 0.500 0.500 0.500
CELL_PARAMETERS angstrom
3.855 0.000 0.000
0.000 5.493 0.000
0.000 0.000 5.493
! Final energy: -3.849 eV per atom
! Energy of formation from the pure elements: -3.1 eV per formula unit
! Magnetic moment: 0.00 μB per atom
! Excess energy over the best structure of this formula in the dataset: 0.036 eV per atom

=====

! Ba2SrCd2In2 | Alexandria | PBE | optimized geometry; values from VASP
&SYSTEM
  ibrav = 0, nat = 7, ntyp = 4
/
ATOMIC_SPECIES
Cd 112.41 Cd.upf
Ba 137.33 Ba.upf
In 114.82 In.upf
Sr 87.62 Sr.upf
ATOMIC_POSITIONS crystal
Cd 0.610 0.610 0.169
Ba 0.123 0.123 0.631
Ba 0.877 0.877 0.369
In 0.268 0.268 0.196
Sr 0.000 0.000 0.000
Cd 0.390 0.390 0.831
In 0.732 0.732 0.804
CELL_PARAMETERS angstrom
-2.741 -4.341 0.631
1.094 -4.184 -2.837
6.495 -6.179 6.903
! Final energy: -2.174 eV per atom
! Energy of formation from the pure elements: -2.4 eV per formula unit
! Magnetic moment: 0.04 μB per atom

=====

! HoMgZn | Alexandria | PBE | optimized geometry; values from VASP
&SYSTEM
  ibrav = 0, nat = 3, ntyp = 3
/
ATOMIC_SPECIES
Zn 65.41 Zn.upf
Mg 24.30 Mg.upf
Ho 164.93 Ho.upf
ATOMIC_POSITIONS crystal
Zn 0.277 0.277 0.555
Mg 0.638 0.638 0.276
Ho 0.934 0.934 0.869
CELL_PARAMETERS angstrom
3.343 0.000 0.000
0.000 3.343 0.000
-1.671 -1.671 6.056
! Final energy: -2.644 eV per atom
! Energy of formation from the pure elements: -0.5 eV per formula unit
! Magnetic moment: 0.02 μB per atom